Below is BaSrTa2O after structural relaxation, with properties calculated at the PBE level.

As for the energy: -4.783 eV per atom. The calculation puts the uncorrected formation energy at 161 kJ per mole of atoms. Its density of states at the Fermi level is 1.53 states/eV per atom.

The structure belongs to space group P4/mmm (No. 123); the cell edges are 5.968, 5.968 and 4.582 Å and the angles 90.00°, 90.00° and 90.00°. The asymmetric unit holds Ba at (0.000, 0.000, 0.000), Sr at (0.500, 0.500, 0.500), Ta at (0.000, 0.500, 0.500) and O at (0.500, 0.500, 0.000).